Entry 1:
The following is a meta-GGA SCAN calculation of a PBEsol-optimized structure of NaTl3Te, from Alexandria via LeMat-Bulk.

Geometry as extended XYZ:
```
5
Lattice="6.174 0.000 0.000 0.000 6.174 0.000 0.000 0.000 6.174" Properties=species:S:1:pos:R:3 pbc="T T T"
Na 0.000 0.000 0.000
Tl 0.000 3.087 3.087
Tl 3.087 0.000 3.087
Tl 3.087 3.087 0.000
Te 3.087 3.087 3.087
```

Output
The final energy is -51.471 eV per atom. As for the total magnetization: 0.0 Bohr magnetons per cell.

Entry 2:
The following is a meta-GGA SCAN calculation of a PBEsol-optimized structure of NaTl2Te, from Alexandria via LeMat-Bulk.

Geometry as extended XYZ:
```
4
Lattice="0.000 3.915 3.915 3.915 0.000 3.915 3.915 3.915 0.000" Properties=species:S:1:pos:R:3 pbc="T T T"
Na 0.000 0.000 0.000
Tl 1.958 1.958 1.958
Tl 5.873 5.873 5.873
Te 3.915 3.915 3.915
```

Output
The final energy is -46.768 eV per atom. As for the total magnetization: 0.0 Bohr magnetons per cell.

Entry 3:
The following is a meta-GGA SCAN calculation of a PBEsol-optimized structure of Na2TlTe2, from Alexandria via LeMat-Bulk.

Geometry as extended XYZ:
```
10
Lattice="9.210 0.000 0.000 0.000 9.210 0.000 0.000 0.000 3.378" Properties=species:S:1:pos:R:3 pbc="T T T"
Na 1.183 3.422 0.000
Na 3.422 8.027 0.000
Na 5.787 1.183 0.000
Na 8.027 5.787 0.000
Tl 0.000 0.000 1.689
Tl 4.605 4.605 1.689
Te 1.562 6.167 1.689
Te 3.043 1.562 1.689
Te 6.167 7.648 1.689
Te 7.648 3.043 1.689
```

Output
The final energy is -31.716 eV per atom. As for the total magnetization: 0.0 Bohr magnetons per cell.

Entry 4:
The following is a meta-GGA SCAN calculation of a PBEsol-optimized structure of NaY2Te2, from Alexandria via LeMat-Bulk.

Geometry as extended XYZ:
```
10
Lattice="8.268 0.000 0.000 0.000 8.268 0.000 0.000 0.000 3.945" Properties=species:S:1:pos:R:3 pbc="T T T"
Na 0.000 0.000 0.000
Na 4.134 4.134 0.000
Y 1.225 2.909 1.973
Y 2.909 7.043 1.973
Y 5.359 1.225 1.973
Y 7.043 5.359 1.973
Te 1.229 5.363 0.000
Te 2.905 1.229 0.000
Te 5.363 7.039 0.000
Te 7.039 2.905 0.000
```

Output
The final energy is -27.984 eV per atom. As for the total magnetization: 0.0 Bohr magnetons per cell.

Entry 5:
The following is a meta-GGA SCAN calculation of a PBEsol-optimized structure of Na3ZrTe, from Alexandria via LeMat-Bulk.

Geometry as extended XYZ:
```
5
Lattice="5.740 0.000 0.000 0.000 5.740 0.000 0.000 0.000 5.740" Properties=species:S:1:pos:R:3 pbc="T T T"
Na 0.000 0.000 2.870
Na 0.000 2.870 0.000
Na 2.870 0.000 0.000
Zr 2.870 2.870 2.870
Te 0.000 0.000 0.000
```

Output
The final energy is -15.686 eV per atom. As for the total magnetization: 3.0 Bohr magnetons per cell.

Entry 6:
The following is a meta-GGA SCAN calculation of a PBEsol-optimized structure of Na3TiTl, from Alexandria via LeMat-Bulk.

Geometry as extended XYZ:
```
5
Lattice="5.620 0.000 0.000 0.000 5.620 0.000 0.000 0.000 5.620" Properties=species:S:1:pos:R:3 pbc="T T T"
Na 0.000 0.000 2.810
Na 0.000 2.810 0.000
Na 2.810 0.000 0.000
Ti 2.810 2.810 2.810
Tl 0.000 0.000 0.000
```

Output
As for the total magnetization: 2.9 Bohr magnetons per cell. Its energy of formation is 0.662 eV per atom.

Entry 7:
The following is a meta-GGA SCAN calculation of a PBEsol-optimized structure of NaTiW2, from Alexandria via LeMat-Bulk.

Geometry as extended XYZ:
```
4
Lattice="0.000 3.186 3.186 3.186 0.000 3.186 3.186 3.186 0.000" Properties=species:S:1:pos:R:3 pbc="T T T"
Na 0.000 0.000 0.000
Ti 3.186 3.186 3.186
W 1.593 1.593 1.593
W 4.779 4.779 4.779
```

Output
As for the total magnetization: 0.0 Bohr magnetons per cell. Its energy of formation is 1.254 eV per atom.

Entry 8:
The following is a meta-GGA SCAN calculation of a PBEsol-optimized structure of Na2TiW, from Alexandria via LeMat-Bulk.

Geometry as extended XYZ:
```
4
Lattice="0.000 3.373 3.373 3.373 0.000 3.373 3.373 3.373 0.000" Properties=species:S:1:pos:R:3 pbc="T T T"
Na 1.687 1.687 1.687
Na 5.060 5.060 5.060
Ti 0.000 0.000 0.000
W 3.373 3.373 3.373
```

Output
As for the total magnetization: 0.9 Bohr magnetons per cell. Its energy of formation is 1.696 eV per atom.

Entry 9:
The following is a meta-GGA SCAN calculation of a PBEsol-optimized structure of NaTiW3, from Alexandria via LeMat-Bulk.

Geometry as extended XYZ:
```
5
Lattice="4.610 0.000 0.000 0.000 4.610 0.000 0.000 0.000 4.610" Properties=species:S:1:pos:R:3 pbc="T T T"
Na 0.000 0.000 0.000
Ti 2.305 2.305 2.305
W 0.000 2.305 2.305
W 2.305 0.000 2.305
W 2.305 2.305 0.000
```

Output
As for the total magnetization: 0.0 Bohr magnetons per cell. Its energy of formation is 2.133 eV per atom.

Entry 10:
The following is a meta-GGA SCAN calculation of a PBEsol-optimized structure of NaY3Ti, from Alexandria via LeMat-Bulk.

Geometry as extended XYZ:
```
5
Lattice="5.437 0.000 0.000 0.000 5.437 0.000 0.000 0.000 5.437" Properties=species:S:1:pos:R:3 pbc="T T T"
Na 0.000 0.000 0.000
Y 0.000 2.719 2.719
Y 2.719 0.000 2.719
Y 2.719 2.719 0.000
Ti 2.719 2.719 2.719
```

Output
As for the total magnetization: 0.0 Bohr magnetons per cell. Its energy of formation is 0.502 eV per atom.

Entry 11:
The following is a meta-GGA SCAN calculation of a PBEsol-optimized structure of NaYTi2, from Alexandria via LeMat-Bulk.

Geometry as extended XYZ:
```
4
Lattice="0.000 3.543 3.543 3.543 0.000 3.543 3.543 3.543 0.000" Properties=species:S:1:pos:R:3 pbc="T T T"
Na 0.000 0.000 0.000
Y 3.543 3.543 3.543
Ti 1.772 1.772 1.772
Ti 5.315 5.315 5.315
```

Output
As for the total magnetization: 4.1 Bohr magnetons per cell. Its energy of formation is 0.833 eV per atom.

Entry 12:
The following is a meta-GGA SCAN calculation of a PBEsol-optimized structure of NaTiZn3, from Alexandria via LeMat-Bulk.

Geometry as extended XYZ:
```
5
Lattice="4.527 0.000 0.000 0.000 4.527 0.000 0.000 0.000 4.527" Properties=species:S:1:pos:R:3 pbc="T T T"
Na 0.000 0.000 0.000
Ti 2.263 2.263 2.263
Zn 0.000 0.000 2.263
Zn 0.000 2.263 0.000
Zn 2.263 0.000 0.000
```

Output
As for the total magnetization: 1.1 Bohr magnetons per cell. Its energy of formation is 0.984 eV per atom.